(1)
The following is a PBE calculation of an optimized crystal structure of Ta4P2CN, from OQMD via LeMat-Bulk.

Structure (POSCAR):
```
Ta4P2CN
1.0
3.2293 0.0000 0.0000
-1.6146 2.7966 0.0000
0.0000 0.0000 11.8418
Ta P C N
4 2 1 1
direct
0.3333 0.6667 0.1000 Ta
0.3333 0.6667 0.3931 Ta
0.6667 0.3333 0.6069 Ta
0.6667 0.3333 0.9000 Ta
0.3333 0.6667 0.7503 P
0.6667 0.3333 0.2497 P
0.0000 0.0000 0.0000 C
0.0000 0.0000 0.5000 N
```

symmetry = P-3m1, No. 164
energy = -81.681 eV/cell

***

(2)
The following is a PBE calculation of an optimized crystal structure of Ta3PCN, from OQMD via LeMat-Bulk.

Structure (POSCAR):
```
Ta3PCN
1.0
3.1952 0.0000 0.0000
-1.5976 2.7671 0.0000
0.0000 0.0000 16.9921
Ta P C N
6 2 2 2
direct
0.0000 0.0000 0.0000 Ta
0.0000 0.0000 0.5000 Ta
0.3333 0.6667 0.1464 Ta
0.3333 0.6667 0.3512 Ta
0.6667 0.3333 0.6488 Ta
0.6667 0.3333 0.8536 Ta
0.0000 0.0000 0.2468 P
0.0000 0.0000 0.7532 P
0.3333 0.6667 0.5754 C
0.6667 0.3333 0.4246 C
0.3333 0.6667 0.9294 N
0.6667 0.3333 0.0706 N
```

symmetry = P-3m1, No. 164
energy = -125.693 eV/cell

***

(3)
The following is a PBE calculation of an optimized crystal structure of PW3CN, from OQMD via LeMat-Bulk.

Structure (POSCAR):
```
PW3CN
1.0
3.0261 0.0000 0.0000
-1.5131 2.6207 0.0000
0.0000 0.0000 17.8153
P W C N
2 6 2 2
direct
0.0000 0.0000 0.2488 P
0.0000 0.0000 0.7512 P
0.0000 0.0000 0.0000 W
0.0000 0.0000 0.5000 W
0.3333 0.6667 0.6556 W
0.3333 0.6667 0.8541 W
0.6667 0.3333 0.1459 W
0.6667 0.3333 0.3444 W
0.3333 0.6667 0.0752 C
0.6667 0.3333 0.9248 C
0.3333 0.6667 0.4241 N
0.6667 0.3333 0.5759 N
```

symmetry = P-3m1, No. 164
energy = -121.675 eV/cell

***

(4)
The following is a PBE calculation of an optimized crystal structure of Zr3PCN, from OQMD via LeMat-Bulk.

Structure (POSCAR):
```
Zr3PCN
1.0
3.3974 0.0000 0.0000
-1.6987 2.9422 0.0000
0.0000 0.0000 17.4775
Zr P C N
6 2 2 2
direct
0.0000 0.0000 0.0000 Zr
0.0000 0.0000 0.5000 Zr
0.3333 0.6667 0.1453 Zr
0.3333 0.6667 0.3516 Zr
0.6667 0.3333 0.6484 Zr
0.6667 0.3333 0.8547 Zr
0.0000 0.0000 0.2464 P
0.0000 0.0000 0.7536 P
0.3333 0.6667 0.5790 C
0.6667 0.3333 0.4210 C
0.3333 0.6667 0.9255 N
0.6667 0.3333 0.0745 N
```

symmetry = P-3m1, No. 164
energy = -112.176 eV/cell

***

(5)
The following is a PBE calculation of an optimized crystal structure of Zr4P2CN, from OQMD via LeMat-Bulk.

Structure (POSCAR):
```
Zr4P2CN
1.0
3.4376 0.0000 0.0000
-1.7188 2.9771 0.0000
0.0000 0.0000 12.1706
Zr P C N
4 2 1 1
direct
0.3333 0.6667 0.1048 Zr
0.3333 0.6667 0.3981 Zr
0.6667 0.3333 0.6019 Zr
0.6667 0.3333 0.8952 Zr
0.3333 0.6667 0.7470 P
0.6667 0.3333 0.2530 P
0.0000 0.0000 0.0000 C
0.0000 0.0000 0.5000 N
```

symmetry = P-3m1, No. 164
energy = -72.716 eV/cell

***

(6)
The following is a PBE calculation of an optimized crystal structure of Ta4Pb2CN, from OQMD via LeMat-Bulk.

Structure (POSCAR):
```
Ta4Pb2CN
1.0
3.3048 0.0000 0.0000
-1.6524 2.8620 0.0000
0.0000 0.0000 13.9153
Ta Pb C N
4 2 1 1
direct
0.3333 0.6667 0.0797 Ta
0.3333 0.6667 0.4235 Ta
0.6667 0.3333 0.5765 Ta
0.6667 0.3333 0.9203 Ta
0.3333 0.6667 0.7480 Pb
0.6667 0.3333 0.2520 Pb
0.0000 0.0000 0.0000 C
0.0000 0.0000 0.5000 N
```

symmetry = P-3m1, No. 164
energy = -73.743 eV/cell